No. 1
Here is an optimized crystal structure of OsRuSe from Alexandria via LeMat-Bulk. Energies are from PBE.

The space group is P-6m2 (No. 187) and the conventional cell measures 2.9003, 2.9003 and 12.3509 Å, with angles of 90.00, 90.00 and 120.00 degrees. The inequivalent atoms are Os at (0.0000, 0.0000, 0.1661), Ru at (0.6667, 0.3333, 0.0000), Ru at (0.6667, 0.3333, 0.5000) and Se at (0.3333, 0.6667, 0.3401).

The total energy is -7.61 eV per atom. As for the uncorrected formation energy: 387 meV per atom. The crystal system is hexagonal. Its density of states at the Fermi level is 2.11 states/eV/f.u. The calculation puts the energy above the most stable polymorph in this dataset at 0 meV per atom.

---

No. 2
Here is an optimized crystal structure of Nd2Sm6Mg from Alexandria via LeMat-Bulk. Energies are from PBE.

The space group is P4_2/mnm (No. 136) and the conventional cell measures 10.771, 10.771 and 5.121 Å, with angles of 90.00, 90.00 and 90.00 degrees. The inequivalent atoms are Nd at (0.165, 0.165, 0.000), Sm at (0.001, 0.667, 0.500), Sm at (0.167, 0.833, 0.000) and Mg at (0.000, 0.000, 0.500).

The total energy is -4.37 eV per atom. The crystal system is tetragonal. Its density of states at the Fermi level is 12.15 states/eV/f.u. The calculation puts the formation energy at 0.14 eV per formula unit.

---

No. 3
Here is an optimized crystal structure of LuScBeFe from Alexandria via LeMat-Bulk. Energies are from PBE.

The space group is F-43m (No. 216) and the conventional cell measures 6.422, 6.422 and 6.422 Å, with angles of 90.00, 90.00 and 90.00 degrees. The inequivalent atoms are Lu at (0.000, 0.000, 0.000), Sc at (0.000, 0.000, 0.500), Be at (0.250, 0.250, 0.750) and Fe at (0.250, 0.250, 0.250).

The total energy is -5.76 eV per atom. The crystal system is cubic. Its density of states at the Fermi level is 4.02 states/eV/f.u. The calculation puts the formation energy at 0.01 eV per formula unit.

---

No. 4
Here is an optimized crystal structure of Mg5Fe3H12 from Alexandria via LeMat-Bulk. Energies are from PBE.

The space group is Ia-3d (No. 230) and the conventional cell measures 11.052, 11.052 and 11.052 Å, with angles of 90.00, 90.00 and 90.00 degrees. The inequivalent atoms are Mg at (0.000, 0.000, 0.000), Mg at (0.000, 0.250, 0.375), Fe at (0.000, 0.250, 0.125) and H at (0.011, 0.056, 0.165).

The total energy is -3.49 eV per atom. The crystal system is cubic. Its density of states at the Fermi level is 4.75 states/eV/f.u.

---

No. 5
Here is an optimized crystal structure of CaPu2Ir2 from Alexandria via LeMat-Bulk. Energies are from PBE.

The space group is P-1 (No. 2) and the conventional cell measures 5.840, 5.867 and 7.834 Å, with angles of 76.89, 89.76 and 63.60 degrees. The inequivalent atoms are Ca at (0.012, 0.197, 0.139), Pu at (0.292, 0.206, 0.654), Pu at (0.379, 0.473, 0.267), Ir at (0.178, 0.769, 0.495) and Ir at (0.496, 0.228, 0.002).

The total energy is -10.06 eV per atom. The crystal system is triclinic. Its density of states at the Fermi level is 14.22 states/eV/f.u. The calculation puts the formation energy at -1.91 eV per formula unit.

---

No. 6
Here is an optimized crystal structure of Mg4Ga5Ag3 from Alexandria via LeMat-Bulk. Energies are from PBE.

The space group is P-1 (No. 2) and the conventional cell measures 5.559, 6.276 and 6.799 Å, with angles of 100.65, 98.35 and 93.73 degrees. The inequivalent atoms are Mg at (0.165, 0.140, 0.218), Mg at (0.301, 0.292, 0.798), Ga at (0.000, 0.500, 0.500), Ga at (0.280, 0.888, 0.516), Ga at (0.350, 0.821, 0.887), Ag at (0.179, 0.615, 0.154) and Ag at (0.500, 0.500, 0.500).

The total energy is -2.62 eV per atom. The crystal system is triclinic. Its density of states at the Fermi level is 2.45 states/eV/f.u. The calculation puts the formation energy at -1.32 eV per formula unit. The calculation puts the energy above the most stable polymorph in this dataset at 0 meV per atom.

---

No. 7
Here is an optimized crystal structure of RhSeI from Alexandria via LeMat-Bulk. Energies are from PBE.

The space group is P3m1 (No. 156) and the conventional cell measures 3.7930, 3.7930 and 6.3785 Å, with angles of 90.00, 90.00 and 120.00 degrees. The inequivalent atoms are Rh at (0.0000, 0.0000, 0.0000), Se at (0.6667, 0.3333, 0.1952) and I at (0.3333, 0.6667, 0.7463).

The total energy is -4.42 eV per atom. As for the uncorrected formation energy: -288 meV per atom. The crystal system is trigonal. Its density of states at the Fermi level is 0.31 states/eV/f.u.

---

No. 8
Here is an optimized crystal structure of La7Nd6Y16 from Alexandria via LeMat-Bulk. Energies are from PBE.

The space group is Fm-3m (No. 225) and the conventional cell measures 16.195, 16.195 and 16.195 Å, with angles of 90.00, 90.00 and 90.00 degrees. The inequivalent atoms are La at (0.000, 0.000, 0.000), La at (0.000, 0.250, 0.250), Nd at (0.000, 0.000, 0.253), Y at (0.130, 0.130, 0.130) and Y at (0.152, 0.152, 0.348).

The total energy is -5.50 eV per atom. The crystal system is cubic. Its density of states at the Fermi level is 48.08 states/eV/f.u. The calculation puts the formation energy at 7.05 eV per formula unit.

---

Question: Which value of density of states at the Fermi level does entry 4 give?
Answer: 4.75 states/eV/f.u.

---

Question: Which of these has the lowest density of states at the Fermi level?
Answer: RhSeI